Entry 1:
Sm3ErTm5: optimized geometry, GGA-PBE.

a b c (Å): 9.445 9.445 9.973
angles (deg): 121.78 121.78 72.62
Fractional positions:
Sm: 0.000 0.000 0.000
Sm: 0.010 0.010 0.306
Sm: 0.474 0.474 0.133
Sm: 0.500 0.500 0.500
Sm: 0.526 0.526 0.867
Sm: 0.990 0.990 0.694
Er: 0.251 0.251 0.105
Er: 0.749 0.749 0.895
Tm: 0.091 0.591 0.747
Tm: 0.215 0.215 0.725
Tm: 0.239 0.761 0.500
Tm: 0.279 0.279 0.468
Tm: 0.409 0.909 0.253
Tm: 0.591 0.091 0.747
Tm: 0.721 0.721 0.532
Tm: 0.761 0.239 0.500
Tm: 0.785 0.785 0.275
Tm: 0.909 0.409 0.253

Summary:
ΔE_f   0.54 eV per atom
Theoretical density   7561 kg/m³
Magnetization   0.0 μB per cell
Space-group type   C2/m, No. 12
ΔE to the lowest computed polymorph   373 meV per atom



Entry 2:
Li2TiCrTc: optimized geometry, GGA-PBE.

a b c (Å): 4.423 4.423 4.383
angles (deg): 90.00 90.00 90.00
Fractional positions:
Li: 0.000 0.500 0.000
Li: 0.500 0.000 0.000
Ti: 0.000 0.000 0.000
Cr: 0.500 0.500 0.500
Tc: 0.000 0.000 0.500

Summary:
ΔE_f   1.55 eV per atom
Theoretical density   4100 kg/m³
Magnetization   0.1 μB per cell
Space-group type   P4/mmm, No. 123